## NaHoMnF6 (GGA+U)

Data for crystalline NaHoMnF6 at its relaxed geometry.

Properties
- total magnetization (Bohr magnetons per cell) = 10.000
- DOS at the Fermi energy (states/eV/f.u.) = 0.00
- calculated total energy (eV per atom) = -6.085

Cell: 5.1307 5.1307 10.3422 Å, 90.00 90.00 90.00°
With the nearest neighbours (Å) after each atom.
Fractional positions:
Na 0.0000 0.0000 0.0000  6 F 2.29-2.38
Na 0.5000 0.5000 0.5000  6 F 2.29-2.38
Ho 0.0000 0.0000 0.3338  6 F 2.18-2.19
Ho 0.5000 0.5000 0.8338  6 F 2.18-2.19
Mn 0.0000 0.0000 0.6684  6 F 2.14-2.18
Mn 0.5000 0.5000 0.1684  6 F 2.14-2.18
F 0.1844 0.1844 0.5017  1 Mn 2.18, 1 Ho 2.19, 1 Na 2.29
F 0.1999 0.1999 0.8228  1 Mn 2.16, 1 Ho 2.18, 1 Na 2.34
F 0.2055 0.2055 0.1793  1 Mn 2.14, 1 Ho 2.18, 1 Na 2.38
F 0.2945 0.7055 0.6793  1 Mn 2.14, 1 Ho 2.18, 1 Na 2.38
F 0.3001 0.6999 0.3228  1 Mn 2.16, 1 Ho 2.18, 1 Na 2.34
F 0.3156 0.6844 0.0017  1 Mn 2.18, 1 Ho 2.19, 1 Na 2.29
F 0.6844 0.3156 0.0017  1 Mn 2.18, 1 Ho 2.19, 1 Na 2.29
F 0.6999 0.3001 0.3228  1 Mn 2.16, 1 Ho 2.18, 1 Na 2.34
F 0.7055 0.2945 0.6793  1 Mn 2.14, 1 Ho 2.18, 1 Na 2.38
F 0.7945 0.7945 0.1793  1 Mn 2.14, 1 Ho 2.18, 1 Na 2.38
F 0.8001 0.8001 0.8228  1 Mn 2.16, 1 Ho 2.18, 1 Na 2.34
F 0.8156 0.8156 0.5017  1 Mn 2.18, 1 Ho 2.19, 1 Na 2.29